VASP calculation (GGA-PBEsol) on an optimized crystal structure of TcAgPb2.

Lattice parameters (Å, degrees): 4.4406 3.4877 10.5686 90.00 90.00 90.00
Space group Amm2 (No. 38)
Unique sites:
Tc 0.0000 0.0000 0.0000 (multiplicity 2)
Ag 0.5000 0.0000 0.8397 (multiplicity 2)
Pb 0.0000 0.0000 0.2753 (multiplicity 2)
Pb 0.5000 0.0000 0.5650 (multiplicity 2)

Calculated values
Total energy   -5.1802 eV per atom
Theoretical density   12.58 g/cm3
Total magnetic moment   0.0 Bohr magnetons per cell
E_form   10.7 kcal/mol of atoms
D(E_F)   0.810 states/eV/atom